Record 1
The following is a PBE-GGA calculation of a relaxed structure of KO2F, from Alexandria.

The structure in POSCAR format:
```
KO2F
1.0
3.659 0.000 0.000
-0.016 3.680 0.000
-1.628 -0.769 6.589
K O F
1 2 1
Direct
0.000 0.000 0.000
0.099 0.607 0.561
0.889 0.379 0.439
0.500 0.500 0.000
```

Computed properties:
ρ: 1.7 Mg/m³
Formation energy (no corrections): -1277 meV/atom
Polymorph energy (0 for the lowest one): 0.000 eV/atom
Total energy: -4.50 eV/atom

=====

Record 2
The following is a PBE-GGA calculation of a relaxed structure of RbScTi2, from Alexandria.

The structure in POSCAR format:
```
RbScTi2
1.0
-2.170 2.170 11.071
2.170 -2.170 11.071
2.170 2.170 -11.071
Rb Sc Ti
2 2 4
Direct
0.000 0.000 0.000
0.750 0.250 0.500
0.250 0.750 0.500
0.500 0.500 0.000
0.163 0.625 0.038
0.375 0.413 0.538
0.587 0.125 0.962
0.875 0.837 0.462
```

Computed properties:
Energy of formation from the pure elements: 1.32 eV per atom
N(E_F): 3.5 states/eV/f.u.
ρ: 3.6 Mg/m³
Polymorph energy (0 for the lowest one): 0.065 eV/atom
Total energy: -4.45 eV/atom

=====

Record 3
The following is a PBE-GGA calculation of a relaxed structure of Ac2Zn2BRh4, from Alexandria.

The structure in POSCAR format:
```
Ac2Zn2BRh4
1.0
-3.109 3.109 4.482
3.109 -3.109 4.482
3.109 3.109 -4.482
Ac Zn B Rh
2 2 1 4
Direct
0.250 0.750 0.500
0.750 0.250 0.500
0.145 0.145 0.000
0.855 0.855 0.000
0.500 0.500 0.000
0.263 0.263 0.526
0.263 0.737 0.000
0.737 0.263 0.000
0.737 0.737 0.474
```

Computed properties:
Energy of formation from the pure elements: -0.47 eV per atom
N(E_F): 3.6 states/eV/f.u.
ρ: 9.7 Mg/m³
Total energy: -5.68 eV/atom

=====

Record 4
The following is a PBE-GGA calculation of a relaxed structure of KCd2RuPb, from Alexandria.

The structure in POSCAR format:
```
KCd2RuPb
1.0
5.352 0.000 0.000
0.000 5.352 0.000
0.000 0.000 5.187
K Cd Ru Pb
1 2 1 1
Direct
0.000 0.000 0.000
0.000 0.500 0.500
0.500 0.000 0.500
0.500 0.500 0.500
0.500 0.500 0.000
```

Computed properties:
Energy of formation from the pure elements: 0.05 eV per atom
N(E_F): 1.7 states/eV/f.u.
ρ: 6.4 Mg/m³
Total energy: -3.13 eV/atom

=====

Record 5
The following is a PBE-GGA calculation of a relaxed structure of LiCuBr5, from Alexandria.

The structure in POSCAR format:
```
LiCuBr5
1.0
5.066 -5.599 0.000
5.066 5.599 0.000
-4.363 0.000 7.781
Li Cu Br
2 2 10
Direct
0.176 0.824 0.750
0.824 0.176 0.250
0.500 0.500 0.000
0.500 0.500 0.500
0.056 0.850 0.453
0.150 0.944 0.047
0.179 0.491 0.331
0.408 0.592 0.750
0.491 0.179 0.831
0.509 0.821 0.169
0.592 0.408 0.250
0.821 0.509 0.669
0.850 0.056 0.953
0.944 0.150 0.547
```

Computed properties:
N(E_F): 1.5 states/eV/f.u.
ρ: 3.5 Mg/m³
Formation energy (no corrections): -491 meV/atom
Total energy: -2.54 eV/atom

=====

Record 6
The following is a PBE-GGA calculation of a relaxed structure of Sn4SI6, from Alexandria.

The structure in POSCAR format:
```
Sn4SI6
1.0
7.349 -2.223 0.000
7.349 2.223 0.000
-1.772 0.000 25.935
Sn S I
8 2 12
Direct
0.036 0.036 0.216
0.134 0.134 0.485
0.203 0.203 0.642
0.273 0.273 0.083
0.727 0.727 0.917
0.797 0.797 0.358
0.866 0.866 0.515
0.964 0.964 0.784
0.277 0.277 0.552
0.723 0.723 0.448
0.072 0.072 0.895
0.147 0.147 0.332
0.327 0.327 0.822
0.356 0.356 0.977
0.406 0.406 0.256
0.430 0.430 0.421
0.570 0.570 0.579
0.594 0.594 0.744
0.644 0.644 0.023
0.673 0.673 0.178
0.853 0.853 0.668
0.928 0.928 0.105
```

Computed properties:
ρ: 5.0 Mg/m³
Formation energy (no corrections): -476 meV/atom
Total energy: -3.15 eV/atom

=====

Q: Which value of ρ does entry 4 give?
A: 6.4 Mg/m³

=====

Q: The highest total energy belongs to which entry?
A: LiCuBr5